Record 1
# Er6Ga2Ir

Er6Ga2Ir after structural relaxation (PBE, the Alexandria database). Values from VASP.

**Symmetry**: P2_1/c, No. 14
**Density of states at the Fermi level**: 8.296 states/eV/f.u.
**Crystal system**: monoclinic
**Magnetic moment**: 0.00 μB per formula unit
**Formation energy from the elements**: -385 kJ/mol of formula units
**Uncorrected energy**: -5.14 eV per atom

```
&SYSTEM
  ibrav = 0, nat = 18, ntyp = 3
/
ATOMIC_SPECIES
Er 167.26 Er.upf
Ga 69.72 Ga.upf
Ir 192.22 Ir.upf
ATOMIC_POSITIONS angstrom
Er 5.228 8.055 2.623
Er 5.194 5.656 5.693
Er 5.199 5.599 9.346
Er 3.514 1.441 5.591
Er 3.520 1.498 9.243
Er 3.592 3.897 2.814
Er 0.581 0.261 7.335
Er 0.615 2.659 4.264
Er 0.610 2.717 0.612
Er 2.295 6.875 4.367
Er 2.289 6.817 0.714
Er 2.218 4.419 7.143
Ga 5.361 3.123 7.586
Ga 3.353 7.281 7.350
Ga 2.457 1.035 2.608
Ga 0.448 5.193 2.371
Ir 2.958 4.158 0.229
Ir -0.053 0.000 4.749
CELL_PARAMETERS angstrom
5.915 0.000 0.459
0.000 8.316 0.000
-0.106 0.000 9.499
```



Record 2
# Zr3Cu2Os

Zr3Cu2Os after structural relaxation (PBE, the Alexandria database). Values from VASP.

**ΔE to the lowest computed polymorph**: 0.029 eV per atom
**Symmetry**: P4/mmm, No. 123
**Density of states at the Fermi level**: 6.673 states/eV/f.u.
**Crystal system**: tetragonal
**Magnetic moment**: 0.74 μB per formula unit
**Formation energy from the elements**: -141 kJ/mol of formula units
**Uncorrected energy**: -7.76 eV per atom

```
&SYSTEM
  ibrav = 0, nat = 6, ntyp = 3
/
ATOMIC_SPECIES
Zr 91.22 Zr.upf
Cu 63.55 Cu.upf
Os 190.23 Os.upf
ATOMIC_POSITIONS angstrom
Zr 0.000 0.000 0.000
Zr 0.000 0.000 6.578
Zr 0.000 0.000 3.297
Cu 1.641 1.641 8.234
Cu 1.641 1.641 1.640
Os 1.641 1.641 4.937
CELL_PARAMETERS angstrom
3.281 0.000 0.000
0.000 3.281 0.000
0.000 0.000 9.874
```



Record 3
# ScCo2Si

ScCo2Si after structural relaxation (PBE, the Alexandria database). Values from VASP.

**Symmetry**: P4/nmm, No. 129
**Density of states at the Fermi level**: 4.997 states/eV/f.u.
**Crystal system**: tetragonal
**Magnetic moment**: 1.06 μB per formula unit
**Uncorrected energy**: -6.95 eV per atom

```
&SYSTEM
  ibrav = 0, nat = 8, ntyp = 3
/
ATOMIC_SPECIES
Sc 44.96 Sc.upf
Co 58.93 Co.upf
Si 28.09 Si.upf
ATOMIC_POSITIONS angstrom
Sc -2.438 0.356 0.972
Sc -2.600 1.827 6.206
Co -4.978 3.339 5.652
Co -0.060 -1.156 1.526
Co -1.804 2.118 3.323
Co -3.234 0.064 3.856
Si -3.998 2.189 3.848
Si -1.039 -0.006 3.331
CELL_PARAMETERS angstrom
-3.265 -1.179 -1.021
0.405 -2.929 2.087
-3.607 4.236 6.646
```



Record 4
# CaLaY4

CaLaY4 after structural relaxation (PBE, the Alexandria database). Values from VASP.

**ΔE to the lowest computed polymorph**: 0.183 eV per atom
**Symmetry**: F-43m, No. 216
**Density of states at the Fermi level**: 8.780 states/eV/f.u.
**Crystal system**: cubic
**Magnetic moment**: 0.01 μB per formula unit
**Formation energy from the elements**: 130 kJ/mol of formula units
**Uncorrected energy**: -5.24 eV per atom

```
&SYSTEM
  ibrav = 0, nat = 6, ntyp = 3
/
ATOMIC_SPECIES
Ca 40.08 Ca.upf
La 138.91 La.upf
Y 88.91 Y.upf
ATOMIC_POSITIONS angstrom
Ca 7.807 -9.320 -2.618
La 0.000 0.000 0.000
Y 7.022 -5.895 -0.766
Y 5.530 -6.291 -3.808
Y 4.374 -8.019 -1.103
Y 3.894 -4.648 -1.306
CELL_PARAMETERS angstrom
6.209 -2.475 1.071
0.954 -6.690 0.402
3.247 -3.261 -4.965
```



Record 5
# GdEr2Cd

GdEr2Cd after structural relaxation (PBE, the Alexandria database). Values from VASP.

**ΔE to the lowest computed polymorph**: 0.130 eV per atom
**Symmetry**: Fm-3m, No. 225
**Density of states at the Fermi level**: 6.313 states/eV/f.u.
**Crystal system**: cubic
**Magnetic moment**: 7.64 μB per formula unit
**Formation energy from the elements**: -3 kJ/mol of formula units
**Uncorrected energy**: -6.04 eV per atom

```
&SYSTEM
  ibrav = 0, nat = 4, ntyp = 3
/
ATOMIC_SPECIES
Cd 112.41 Cd.upf
Gd 157.25 Gd.upf
Er 167.26 Er.upf
ATOMIC_POSITIONS angstrom
Cd 1.766 -3.844 5.097
Gd 0.000 0.000 0.000
Er 0.883 -1.922 2.548
Er 2.649 -5.765 7.645
CELL_PARAMETERS angstrom
-0.535 -0.798 5.322
-0.109 -5.030 1.983
4.176 -1.859 2.889
```



Record 6
# AcSm2Te

AcSm2Te after structural relaxation (PBE, the Alexandria database). Values from VASP.

**ΔE to the lowest computed polymorph**: 0.140 eV per atom
**Symmetry**: P4/mmm, No. 123
**Density of states at the Fermi level**: 3.624 states/eV/f.u.
**Crystal system**: tetragonal
**Magnetic moment**: 0.00 μB per formula unit
**Uncorrected energy**: -4.64 eV per atom

```
&SYSTEM
  ibrav = 0, nat = 4, ntyp = 3
/
ATOMIC_SPECIES
Ac 227.00 Ac.upf
Te 127.60 Te.upf
Sm 150.36 Sm.upf
ATOMIC_POSITIONS angstrom
Ac 2.454 2.531 2.531
Te 2.454 0.000 0.000
Sm 0.000 0.000 2.531
Sm 0.000 2.531 0.000
CELL_PARAMETERS angstrom
4.907 0.000 0.000
0.000 5.062 0.000
0.000 0.000 5.062
```